{
  "formula": "CeFeCoP2",
  "functional": "PBE",
  "state": "optimized geometry",
  "lattice": [[-1.4007, -3.3624, 0.7849], [1.9884, -0.0931, 3.1498], [-4.3655, 4.0398, 0.6713]],
  "species": ["Ce", "Fe", "Co", "P", "P"],
  "frac_coords": [[0.0000, 0.0000, 0.0000], [0.7500, 0.2500, 0.5000], [0.2500, 0.7500, 0.5000], [0.6406, 0.6406, 0.2812], [0.3594, 0.3594, 0.7188]],
  "sg": "I-4m2 (119)",
  "n_ef_per_ev_cell": 5.4,
  "formation_enthalpy_0k_ev_per_fu": -4.970,
  "total_energy_ev_per_atom": -7.46
}